# 1
Here is a relaxed structure of La2Nd6Sm3 from Alexandria via LeMat-Bulk. Energies are from PBE-GGA.

Output
The final energy is -4.772 eV/atom. Its formation energy from the elements is 0.28 kcal/mol of atoms. Its volume is 35.22 Å³/atom. The calculation puts the density of states at the Fermi level at 48.67 states/eV/cell. As for the crystal system: trigonal. The calculation puts the energy above the lowest structure with this stoichiometry at 0 meV per atom.

CIF file:
```
data_La2Nd6Sm3
_space_group_name_H-M_alt 'R -3 m'
_space_group_IT_number 166
_space_group_name_Hall '-R 3 2"'
_cell_length_a 3.6770
_cell_length_b 3.6770
_cell_length_c 99.2625
_cell_angle_alpha 90.00
_cell_angle_beta 90.00
_cell_angle_gamma 120.00
loop_
_atom_site_label
_atom_site_fract_x
_atom_site_fract_y
_atom_site_fract_z
La1 0.0000 0.0000 0.0458
Nd1 0.0000 0.0000 0.1367
Nd2 0.0000 0.0000 0.3182
Nd3 0.0000 0.0000 0.4101
Sm1 0.0000 0.0000 0.2267
Sm2 0.0000 0.0000 0.5000
```


# 2
Here is a relaxed structure of CsNaPPd2 from Alexandria via LeMat-Bulk. Energies are from PBE-GGA.

Output
The final energy is -3.807 eV/atom. Its formation energy from the elements is -4.92 kcal/mol of atoms. Its volume is 24.46 Å³/atom. The calculation puts the density of states at the Fermi level at 5.92 states/eV/cell. As for the crystal system: tetragonal.

CIF file:
```
data_CsNaPPd2
_space_group_name_H-M_alt 'P 4/m m m'
_space_group_IT_number 123
_space_group_name_Hall '-P 4 2'
_cell_length_a 4.746
_cell_length_b 4.746
_cell_length_c 5.431
_cell_angle_alpha 90.00
_cell_angle_beta 90.00
_cell_angle_gamma 90.00
loop_
_atom_site_label
_atom_site_fract_x
_atom_site_fract_y
_atom_site_fract_z
Cs1 0.000 0.000 0.000
Na1 0.500 0.500 0.000
P1 0.500 0.500 0.500
Pd1 0.000 0.500 0.500
```


# 3
Here is a relaxed structure of Tl2CdBSe4 from Alexandria via LeMat-Bulk. Energies are from PBE-GGA.

Output
The final energy is -3.550 eV/atom. Its volume is 27.12 Å³/atom. The value obtained for the energy relative to the elements, uncorrected is -267 meV per atom. The calculation puts the density of states at the Fermi level at 9.01 states/eV/cell. As for the crystal system: tetragonal.

CIF file:
```
data_Tl2CdBSe4
_space_group_name_H-M_alt 'I -4'
_space_group_IT_number 82
_cell_length_a 7.138
_cell_length_b 7.138
_cell_length_c 8.518
_cell_angle_alpha 90.00
_cell_angle_beta 90.00
_cell_angle_gamma 90.00
loop_
_space_group_symop_operation_xyz
'x,y,z'
'y,-x,-z'
'-x,-y,z'
'-y,x,-z'
'x+1/2,y+1/2,z+1/2'
'y+1/2,-x+1/2,-z+1/2'
'-x+1/2,-y+1/2,z+1/2'
'-y+1/2,x+1/2,-z+1/2'
loop_
_atom_site_label
_atom_site_fract_x
_atom_site_fract_y
_atom_site_fract_z
Tl1 0.000 0.000 0.000
Tl2 0.000 0.500 0.250
Cd1 0.000 0.000 0.500
B1 0.000 0.500 0.750
Se1 0.160 0.691 0.626
```


# 4
Here is a relaxed structure of TiMnCd2Ir from Alexandria via LeMat-Bulk. Energies are from PBE-GGA.

Output
The final energy is -4.633 eV/atom. Its formation energy from the elements is 21.18 kcal/mol of atoms. Its volume is 24.32 Å³/atom. The calculation puts the density of states at the Fermi level at 8.21 states/eV/cell. As for the crystal system: tetragonal.

CIF file:
```
data_TiMnCd2Ir
_space_group_name_H-M_alt 'P 4/m m m'
_space_group_IT_number 123
_space_group_name_Hall '-P 4 2'
_cell_length_a 5.104
_cell_length_b 5.104
_cell_length_c 4.669
_cell_angle_alpha 90.00
_cell_angle_beta 90.00
_cell_angle_gamma 90.00
loop_
_atom_site_label
_atom_site_fract_x
_atom_site_fract_y
_atom_site_fract_z
Ti1 0.000 0.000 0.000
Mn1 0.500 0.500 0.000
Cd1 0.000 0.500 0.500
Ir1 0.500 0.500 0.500
```


- Which value of final energy does entry 2 give?
  -3.807 eV/atom